[1]
VASP calculation (PBE-GGA) on a relaxed structure of Ca2YPt.

```
data_Ca2YPt
_chemical_formula_sum 'Ca4 Y2 Pt2'
_cell_length_a 6.250
_cell_length_b 11.000
_cell_length_c 3.575
_cell_angle_alpha 90.00
_cell_angle_beta 118.63
_cell_angle_gamma 90.00
_space_group_name_H-M_alt 'C 1 2/m 1'
_space_group_IT_number 12
_space_group_name_Hall '-C 2y'
loop_
_atom_site_label
_atom_site_fract_x
_atom_site_fract_y
_atom_site_fract_z
Ca1 0.250 0.250 0.000
Y1 0.000 0.000 0.500
Pt1 0.000 0.500 0.500
```

***

[2]
VASP calculation (PBE-GGA) on a relaxed structure of CaY2Pt.

```
data_CaY2Pt
_chemical_formula_sum 'Ca3 Y6 Pt3'
_cell_length_a 4.0878
_cell_length_b 4.0878
_cell_length_c 28.0401
_cell_angle_alpha 90.00
_cell_angle_beta 90.00
_cell_angle_gamma 120.00
_space_group_name_H-M_alt 'R -3 m'
_space_group_IT_number 166
_space_group_name_Hall '-R 3 2"'
loop_
_atom_site_label
_atom_site_fract_x
_atom_site_fract_y
_atom_site_fract_z
Ca1 0.0000 0.0000 0.0000
Y1 0.0000 0.0000 0.2206
Pt1 0.0000 0.0000 0.5000
```

***

[3]
VASP calculation (PBE-GGA) on a relaxed structure of CaYPt2.

```
data_CaYPt2
_chemical_formula_sum 'Ca1 Y1 Pt2'
_cell_length_a 3.487
_cell_length_b 3.487
_cell_length_c 7.071
_cell_angle_alpha 90.00
_cell_angle_beta 90.00
_cell_angle_gamma 90.00
_space_group_name_H-M_alt 'P 4/m m m'
_space_group_IT_number 123
_space_group_name_Hall '-P 4 2'
loop_
_atom_site_label
_atom_site_fract_x
_atom_site_fract_y
_atom_site_fract_z
Ca1 0.000 0.000 0.000
Y1 0.000 0.000 0.500
Pt1 0.500 0.500 0.266
```

***

[4]
VASP calculation (PBE-GGA) on a relaxed structure of Ca2YPt.

```
data_Ca2YPt
_chemical_formula_sum 'Ca4 Y2 Pt2'
_cell_length_a 4.400
_cell_length_b 4.400
_cell_length_c 10.784
_cell_angle_alpha 90.00
_cell_angle_beta 90.00
_cell_angle_gamma 90.00
_space_group_name_H-M_alt 'I 4/m m m'
_space_group_IT_number 139
_space_group_name_Hall '-I 4 2'
loop_
_atom_site_label
_atom_site_fract_x
_atom_site_fract_y
_atom_site_fract_z
Ca1 0.000 0.500 0.250
Y1 0.000 0.000 0.000
Pt1 0.000 0.000 0.500
```

***

[5]
VASP calculation (PBE-GGA) on a relaxed structure of CaY2Pt.

```
data_CaY2Pt
_chemical_formula_sum 'Ca4 Y8 Pt4'
_cell_length_a 8.771
_cell_length_b 8.771
_cell_length_c 6.409
_cell_angle_alpha 90.00
_cell_angle_beta 90.00
_cell_angle_gamma 90.00
_space_group_name_H-M_alt 'I -4 2 d'
_space_group_IT_number 122
_space_group_name_Hall 'I -4 2bw'
loop_
_atom_site_label
_atom_site_fract_x
_atom_site_fract_y
_atom_site_fract_z
Ca1 0.000 0.000 0.000
Y1 0.169 0.250 0.625
Pt1 0.000 0.000 0.500
```

***

[6]
VASP calculation (PBE-GGA) on a relaxed structure of CaYPt3.

```
data_CaYPt3
_chemical_formula_sum 'Ca1 Y1 Pt3'
_cell_length_a 5.161
_cell_length_b 5.161
_cell_length_c 5.161
_cell_angle_alpha 90.00
_cell_angle_beta 90.00
_cell_angle_gamma 90.00
_space_group_name_H-M_alt 'P m -3 m'
_space_group_IT_number 221
_space_group_name_Hall '-P 4 2 3'
loop_
_atom_site_label
_atom_site_fract_x
_atom_site_fract_y
_atom_site_fract_z
Ca1 0.000 0.000 0.000
Y1 0.500 0.500 0.500
Pt1 0.000 0.500 0.500
```

***

[7]
VASP calculation (PBE-GGA) on a relaxed structure of Ca2YPt.

```
data_Ca2YPt
_chemical_formula_sum 'Ca4 Y2 Pt2'
_cell_length_a 5.568
_cell_length_b 12.159
_cell_length_c 4.074
_cell_angle_alpha 90.00
_cell_angle_beta 90.00
_cell_angle_gamma 90.00
_space_group_name_H-M_alt 'C m m m'
_space_group_IT_number 65
_space_group_name_Hall '-C 2 2'
loop_
_atom_site_label
_atom_site_fract_x
_atom_site_fract_y
_atom_site_fract_z
Ca1 0.000 0.159 0.000
Y1 0.000 0.500 0.500
Pt1 0.000 0.000 0.500
```

***

[8]
VASP calculation (PBE-GGA) on a relaxed structure of Ca2YPt.

```
data_Ca2YPt
_chemical_formula_sum 'Ca8 Y4 Pt4'
_cell_length_a 9.669
_cell_length_b 9.669
_cell_length_c 5.662
_cell_angle_alpha 90.00
_cell_angle_beta 90.00
_cell_angle_gamma 90.00
_space_group_name_H-M_alt 'I -4 2 d'
_space_group_IT_number 122
_space_group_name_Hall 'I -4 2bw'
loop_
_atom_site_label
_atom_site_fract_x
_atom_site_fract_y
_atom_site_fract_z
Ca1 0.141 0.250 0.125
Y1 0.000 0.000 0.500
Pt1 0.000 0.000 0.000
```

***

[9]
VASP calculation (PBE-GGA) on a relaxed structure of CaYPt2.

```
data_CaYPt2
_chemical_formula_sum 'Ca4 Y4 Pt8'
_cell_length_a 7.643
_cell_length_b 7.643
_cell_length_c 6.210
_cell_angle_alpha 90.00
_cell_angle_beta 90.00
_cell_angle_gamma 90.00
_space_group_name_H-M_alt 'I -4 2 d'
_space_group_IT_number 122
_space_group_name_Hall 'I -4 2bw'
loop_
_atom_site_label
_atom_site_fract_x
_atom_site_fract_y
_atom_site_fract_z
Ca1 0.000 0.000 0.000
Y1 0.000 0.000 0.500
Pt1 0.243 0.750 0.625
```

***

[10]
VASP calculation (PBE-GGA) on a relaxed structure of CaY2Pt.

```
data_CaY2Pt
_chemical_formula_sum 'Ca1 Y2 Pt1'
_cell_length_a 3.552
_cell_length_b 3.605
_cell_length_c 9.235
_cell_angle_alpha 90.00
_cell_angle_beta 90.18
_cell_angle_gamma 90.00
_space_group_name_H-M_alt 'P 1 2/m 1'
_space_group_IT_number 10
_space_group_name_Hall '-P 2y'
loop_
_atom_site_label
_atom_site_fract_x
_atom_site_fract_y
_atom_site_fract_z
Ca1 0.000 0.000 0.000
Y1 0.499 0.500 0.324
Pt1 0.000 0.000 0.500
```

***

[11]
VASP calculation (PBE-GGA) on a relaxed structure of CaY2Pt.

```
data_CaY2Pt
_chemical_formula_sum 'Ca2 Y4 Pt2'
_cell_length_a 3.681
_cell_length_b 5.530
_cell_length_c 11.196
_cell_angle_alpha 90.00
_cell_angle_beta 90.00
_cell_angle_gamma 90.00
_space_group_name_H-M_alt 'I m m m'
_space_group_IT_number 71
_space_group_name_Hall '-I 2 2'
loop_
_atom_site_label
_atom_site_fract_x
_atom_site_fract_y
_atom_site_fract_z
Ca1 0.000 0.000 0.000
Y1 0.000 0.500 0.191
Pt1 0.000 0.000 0.500
```

***

[12]
VASP calculation (PBE-GGA) on a relaxed structure of CaYZnPt.

```
data_CaYZnPt
_chemical_formula_sum 'Ca2 Y2 Zn2 Pt2'
_cell_length_a 4.210
_cell_length_b 3.981
_cell_length_c 11.309
_cell_angle_alpha 90.00
_cell_angle_beta 90.00
_cell_angle_gamma 90.00
_space_group_name_H-M_alt 'A m m 2'
_space_group_IT_number 38
_space_group_name_Hall 'A 2 -2'
loop_
_atom_site_label
_atom_site_fract_x
_atom_site_fract_y
_atom_site_fract_z
Ca1 0.000 0.000 0.000
Y1 0.500 0.000 0.287
Zn1 0.500 0.000 0.578
Pt1 0.000 0.000 0.725
```

***

[13]
VASP calculation (PBE-GGA) on a relaxed structure of Ca3Zn7Pt4.

```
data_Ca3Zn7Pt4
_chemical_formula_sum 'Ca6 Zn14 Pt8'
_cell_length_a 15.660
_cell_length_b 4.325
_cell_length_c 9.450
_cell_angle_alpha 90.00
_cell_angle_beta 124.99
_cell_angle_gamma 90.00
_space_group_name_H-M_alt 'C 1 2/m 1'
_space_group_IT_number 12
_space_group_name_Hall '-C 2y'
loop_
_atom_site_label
_atom_site_fract_x
_atom_site_fract_y
_atom_site_fract_z
Ca1 0.000 0.000 0.000
Ca2 0.198 0.500 0.703
Zn1 0.000 0.000 0.500
Zn2 0.003 0.500 0.291
Zn3 0.147 0.000 0.420
Zn4 0.179 0.500 0.026
Pt1 0.116 0.000 0.830
Pt2 0.166 0.500 0.287
```

***

[14]
VASP calculation (PBE-GGA) on a relaxed structure of CaZn2Pt.

```
data_CaZn2Pt
_chemical_formula_sum 'Ca2 Zn4 Pt2'
_cell_length_a 4.555
_cell_length_b 5.092
_cell_length_c 6.619
_cell_angle_alpha 90.00
_cell_angle_beta 90.00
_cell_angle_gamma 90.00
_space_group_name_H-M_alt 'I m m 2'
_space_group_IT_number 44
_space_group_name_Hall 'I 2 -2'
loop_
_atom_site_label
_atom_site_fract_x
_atom_site_fract_y
_atom_site_fract_z
Ca1 0.000 0.000 0.000
Zn1 0.000 0.000 0.508
Zn2 0.000 0.500 0.792
Pt1 0.000 0.500 0.207
```

***

[15]
VASP calculation (PBE-GGA) on a relaxed structure of Ca6Zn5Pt.

```
data_Ca6Zn5Pt
_chemical_formula_sum 'Ca6 Zn5 Pt1'
_cell_length_a 5.171
_cell_length_b 7.220
_cell_length_c 8.183
_cell_angle_alpha 90.00
_cell_angle_beta 108.32
_cell_angle_gamma 90.00
_space_group_name_H-M_alt 'P 1 2/m 1'
_space_group_IT_number 10
_space_group_name_Hall '-P 2y'
loop_
_atom_site_label
_atom_site_fract_x
_atom_site_fract_y
_atom_site_fract_z
Ca1 0.000 0.239 0.000
Ca2 0.340 0.245 0.678
Zn1 0.165 0.500 0.335
Zn2 0.172 0.000 0.348
Zn3 0.500 0.500 0.000
Pt1 0.500 0.000 0.000
```

***

[16]
VASP calculation (PBE-GGA) on a relaxed structure of Ca3Zn6Pt5.

```
data_Ca3Zn6Pt5
_chemical_formula_sum 'Ca6 Zn12 Pt10'
_cell_length_a 4.305
_cell_length_b 12.682
_cell_length_c 9.467
_cell_angle_alpha 90.00
_cell_angle_beta 90.00
_cell_angle_gamma 90.00
_space_group_name_H-M_alt 'P m m n'
_space_group_IT_number 59
loop_
_space_group_symop_operation_xyz
'x,y,z'
'-x,-y,-z'
'-x+1/2,-y+1/2,z'
'x+1/2,y+1/2,-z'
'x+1/2,-y,-z'
'-x+1/2,y,z'
'-x,y+1/2,-z'
'x,-y+1/2,z'
loop_
_atom_site_label
_atom_site_fract_x
_atom_site_fract_y
_atom_site_fract_z
Ca1 0.250 0.055 0.249
Ca2 0.250 0.750 0.242
Zn1 0.250 0.068 0.910
Zn2 0.250 0.250 0.064
Zn3 0.250 0.250 0.461
Zn4 0.250 0.598 0.520
Pt1 0.250 0.092 0.635
Pt2 0.250 0.635 0.962
Pt3 0.250 0.750 0.707
```

***

[17]
VASP calculation (PBE-GGA) on a relaxed structure of CaZn2Pt2.

```
data_CaZn2Pt2
_chemical_formula_sum 'Ca2 Zn4 Pt4'
_cell_length_a 4.054
_cell_length_b 4.054
_cell_length_c 11.641
_cell_angle_alpha 90.00
_cell_angle_beta 90.00
_cell_angle_gamma 90.00
_space_group_name_H-M_alt 'I 4/m m m'
_space_group_IT_number 139
_space_group_name_Hall '-I 4 2'
loop_
_atom_site_label
_atom_site_fract_x
_atom_site_fract_y
_atom_site_fract_z
Ca1 0.000 0.000 0.000
Zn1 0.000 0.500 0.250
Pt1 0.000 0.000 0.388
```

***

[18]
VASP calculation (PBE-GGA) on a relaxed structure of CaZn2Pt.

```
data_CaZn2Pt
_chemical_formula_sum 'Ca1 Zn2 Pt1'
_cell_length_a 3.923
_cell_length_b 4.315
_cell_length_c 5.140
_cell_angle_alpha 90.00
_cell_angle_beta 90.00
_cell_angle_gamma 90.00
_space_group_name_H-M_alt 'P m m 2'
_space_group_IT_number 25
_space_group_name_Hall 'P 2 -2'
loop_
_atom_site_label
_atom_site_fract_x
_atom_site_fract_y
_atom_site_fract_z
Ca1 0.000 0.000 0.000
Zn1 0.500 0.000 0.537
Zn2 0.500 0.500 0.289
Pt1 0.500 0.500 0.802
```

***

[19]
VASP calculation (PBE-GGA) on a relaxed structure of Ca2ZnPt.

```
data_Ca2ZnPt
_chemical_formula_sum 'Ca4 Zn2 Pt2'
_cell_length_a 11.694
_cell_length_b 3.622
_cell_length_c 4.917
_cell_angle_alpha 90.00
_cell_angle_beta 114.24
_cell_angle_gamma 90.00
_space_group_name_H-M_alt 'C 1 m 1'
_space_group_IT_number 8
_space_group_name_Hall 'C -2y'
loop_
_atom_site_label
_atom_site_fract_x
_atom_site_fract_y
_atom_site_fract_z
Ca1 0.000 0.000 0.000
Ca2 0.206 0.000 0.702
Zn1 0.295 0.500 0.291
Pt1 0.468 0.000 0.470
```

***

[20]
VASP calculation (PBE-GGA) on a relaxed structure of Ca3Zn9Pt2.

```
data_Ca3Zn9Pt2
_chemical_formula_sum 'Ca6 Zn18 Pt4'
_cell_length_a 4.322
_cell_length_b 9.304
_cell_length_c 12.933
_cell_angle_alpha 90.00
_cell_angle_beta 90.00
_cell_angle_gamma 90.00
_space_group_name_H-M_alt 'I m m m'
_space_group_IT_number 71
_space_group_name_Hall '-I 2 2'
loop_
_atom_site_label
_atom_site_fract_x
_atom_site_fract_y
_atom_site_fract_z
Ca1 0.000 0.000 0.000
Ca2 0.000 0.000 0.311
Zn1 0.000 0.279 0.125
Zn2 0.000 0.359 0.329
Zn3 0.000 0.500 0.000
Pt1 0.000 0.202 0.500
```

***

[21]
VASP calculation (PBE-GGA) on a relaxed structure of Ca2ZnPt.

```
data_Ca2ZnPt
_chemical_formula_sum 'Ca4 Zn2 Pt2'
_cell_length_a 4.305
_cell_length_b 4.239
_cell_length_c 10.846
_cell_angle_alpha 90.00
_cell_angle_beta 90.00
_cell_angle_gamma 90.00
_space_group_name_H-M_alt 'A m m 2'
_space_group_IT_number 38
_space_group_name_Hall 'A 2 -2'
loop_
_atom_site_label
_atom_site_fract_x
_atom_site_fract_y
_atom_site_fract_z
Ca1 0.000 0.000 0.000
Ca2 0.500 0.000 0.285
Zn1 0.000 0.000 0.705
Pt1 0.500 0.000 0.575
```

***

[22]
VASP calculation (PBE-GGA) on a relaxed structure of CaZn5Pt2.

```
data_CaZn5Pt2
_chemical_formula_sum 'Ca2 Zn10 Pt4'
_cell_length_a 3.853
_cell_length_b 7.671
_cell_length_c 9.866
_cell_angle_alpha 90.00
_cell_angle_beta 90.00
_cell_angle_gamma 90.00
_space_group_name_H-M_alt 'I m m m'
_space_group_IT_number 71
_space_group_name_Hall '-I 2 2'
loop_
_atom_site_label
_atom_site_fract_x
_atom_site_fract_y
_atom_site_fract_z
Ca1 0.000 0.000 0.000
Zn1 0.000 0.190 0.352
Zn2 0.000 0.500 0.000
Pt1 0.000 0.500 0.256
```

***

[23]
VASP calculation (PBE-GGA) on a relaxed structure of Ca2Zn7Pt.

```
data_Ca2Zn7Pt
_chemical_formula_sum 'Ca2 Zn7 Pt1'
_cell_length_a 4.069
_cell_length_b 4.069
_cell_length_c 11.409
_cell_angle_alpha 90.00
_cell_angle_beta 90.00
_cell_angle_gamma 90.00
_space_group_name_H-M_alt 'P -4 m 2'
_space_group_IT_number 115
_space_group_name_Hall 'P -4 -2'
loop_
_atom_site_label
_atom_site_fract_x
_atom_site_fract_y
_atom_site_fract_z
Ca1 0.000 0.500 0.249
Zn1 0.000 0.000 0.000
Zn2 0.000 0.000 0.500
Zn3 0.000 0.500 0.641
Zn4 0.000 0.500 0.860
Zn5 0.500 0.500 0.500
Pt1 0.500 0.500 0.000
```

***

[24]
VASP calculation (PBE-GGA) on a relaxed structure of CaZnPt.

```
data_CaZnPt
_chemical_formula_sum 'Ca2 Zn2 Pt2'
_cell_length_a 4.180
_cell_length_b 5.613
_cell_length_c 5.591
_cell_angle_alpha 90.00
_cell_angle_beta 111.82
_cell_angle_gamma 90.00
_space_group_name_H-M_alt 'P 1 21/m 1'
_space_group_IT_number 11
_space_group_name_Hall '-P 2yb'
loop_
_atom_site_label
_atom_site_fract_x
_atom_site_fract_y
_atom_site_fract_z
Ca1 0.211 0.250 0.421
Zn1 0.500 0.000 0.000
Pt1 0.077 0.750 0.154
```

***

[25]
VASP calculation (PBE-GGA) on a relaxed structure of CaZn8Pt4.

```
data_CaZn8Pt4
_chemical_formula_sum 'Ca2 Zn16 Pt8'
_cell_length_a 8.810
_cell_length_b 8.810
_cell_length_c 5.520
_cell_angle_alpha 90.00
_cell_angle_beta 90.00
_cell_angle_gamma 90.00
_space_group_name_H-M_alt 'I 4/m m m'
_space_group_IT_number 139
_space_group_name_Hall '-I 4 2'
loop_
_atom_site_label
_atom_site_fract_x
_atom_site_fract_y
_atom_site_fract_z
Ca1 0.000 0.000 0.000
Zn1 0.000 0.221 0.500
Zn2 0.000 0.343 0.000
Pt1 0.250 0.250 0.250
```

***

| no. | calculated formation energy (eV/atom) |
| --- | --- |
| 1 | -0.100 |
| 2 | -0.547 |
| 3 | -1.089 |
| 4 | -0.277 |
| 5 | -0.417 |
| 6 | 0.031 |
| 7 | -0.449 |
| 8 | -0.347 |
| 9 | -0.675 |
| 10 | -0.565 |
| 11 | -0.562 |
| 12 | -0.736 |
| 13 | -0.633 |
| 14 | -0.397 |
| 15 | -0.346 |
| 16 | -0.700 |
| 17 | -0.696 |
| 18 | -0.440 |
| 19 | -0.530 |
| 20 | -0.423 |
| 21 | -0.665 |
| 22 | -0.470 |
| 23 | -0.335 |
| 24 | -0.759 |
| 25 | -0.511 |